1.
A plane-wave DFT calculation with PBE was carried out for a geometry-optimized NaHo2ScS4 structure.

extended XYZ file:
```
8
Lattice="6.640 0.000 0.000 0.000 3.845 0.000 -2.219 0.000 6.364" Properties=species:S:1:pos:R:3 pbc="T T T"
Na 0.000 0.000 0.000
Ho 2.210 0.000 3.182
Ho 3.320 1.923 0.000
Sc -1.110 1.923 3.182
S -0.039 0.000 4.721
S 1.086 1.923 1.640
S 3.334 1.923 4.724
S 4.459 0.000 1.643
```

- mass density (Mg/m³) = 5.38
- total energy (eV per atom) = -6.023
- density of states at the Fermi level (states/eV/atom) = 0.34

2.
A plane-wave DFT calculation with PBE was carried out for a geometry-optimized Na3Ho2ScS6 structure.

extended XYZ file:
```
12
Lattice="3.380 -5.855 0.000 3.380 5.855 0.000 -2.256 0.000 6.663" Properties=species:S:1:pos:R:3 pbc="T T T"
Na 0.000 0.000 0.000
Na 3.380 1.958 0.000
Na 3.380 -1.958 0.000
Ho 2.252 3.905 3.332
Ho 2.252 -3.905 3.332
Sc 2.252 0.000 3.332
S 1.163 1.888 1.847
S 0.075 0.000 4.808
S 1.163 -1.888 1.847
S 3.340 1.888 4.816
S 4.428 0.000 1.855
S 3.340 -1.888 4.816
```

- mass density (Mg/m³) = 4.01
- total energy (eV per atom) = -5.495
- density of states at the Fermi level (states/eV/atom) = 0.00